Below is crystalline Tb3SbO3 at its relaxed geometry, with properties calculated at the PBE level.

Lattice parameters (Å, degrees): 6.697 6.697 8.351 66.36 66.36 60.00
Atoms (fractional coordinates):
O (0.560, 0.193, 0.381)
O (0.193, 0.866, 0.381)
O (0.134, 0.440, 0.619)
Sb (0.667, 0.667, 0.000)
Sb (0.333, 0.333, 0.000)
Tb (0.248, 0.545, 0.306)
Tb (0.455, 0.099, 0.694)
O (0.440, 0.807, 0.619)
O (0.807, 0.134, 0.619)
Tb (0.099, 0.752, 0.694)
Tb (0.752, 0.455, 0.694)
O (0.866, 0.560, 0.381)
Tb (0.545, 0.901, 0.306)
Tb (0.901, 0.248, 0.306)

Results
Space group: R-3, No. 148
ρ (g cm⁻³): 7.47
Raw total energy (eV per atom): -7.435


Below is crystalline Tb3SbO7 at its relaxed geometry, with properties calculated at the PBE level.

Lattice parameters (Å, degrees): 6.452 6.505 7.605 106.78 89.78 97.97
Atoms (fractional coordinates):
O (0.071, 0.331, 0.612)
Tb (0.263, 0.529, 0.387)
Tb (0.264, 0.535, 0.883)
O (0.559, 0.353, 0.834)
Tb (0.737, 0.471, 0.613)
O (0.291, 0.932, 0.953)
Sb (0.000, 0.000, 0.000)
O (0.547, 0.362, 0.344)
O (0.709, 0.068, 0.047)
Tb (0.736, 0.465, 0.117)
O (0.075, 0.320, 0.045)
O (0.711, 0.066, 0.485)
O (0.441, 0.647, 0.166)
O (0.925, 0.680, 0.955)
Tb (0.459, 0.005, 0.251)
O (0.100, 0.069, 0.268)
O (0.900, 0.931, 0.732)
O (0.929, 0.669, 0.388)
Sb (0.000, 0.000, 0.500)
O (0.453, 0.638, 0.656)
Tb (0.541, 0.995, 0.749)
O (0.289, 0.934, 0.515)

Results
Space group: P-1, No. 2
ρ (g cm⁻³): 7.80
Raw total energy (eV per atom): -7.766
Polymorph energy (0 for the lowest one) (meV/atom): 2.1


Below is crystalline TbTl2Sb2O6 at its relaxed geometry, with properties calculated at the PBE level.

Lattice parameters (Å, degrees): 6.232 5.924 7.928 112.44 90.00 121.74
Atoms (fractional coordinates):
Sb (0.937, 0.875, 0.761)
O (0.182, 0.900, 0.280)
Tb (0.500, 0.000, 0.500)
Sb (0.063, 0.125, 0.239)
O (0.818, 0.100, 0.720)
O (0.282, 0.100, 0.720)
O (0.718, 0.900, 0.280)
Tl (0.284, 0.568, 0.793)
Tl (0.716, 0.432, 0.207)
O (0.258, 0.516, 0.457)
O (0.742, 0.484, 0.543)

Results
Space group: C2/m, No. 12
ρ (g cm⁻³): 6.77
Raw total energy (eV per atom): -5.870


Below is crystalline TbTl2SbO4 at its relaxed geometry, with properties calculated at the PBE level.

Lattice parameters (Å, degrees): 7.316 7.316 7.245 119.68 119.68 89.97
Atoms (fractional coordinates):
Tl (0.500, 0.000, 0.000)
O (0.179, 0.722, 0.951)
Tl (0.500, 0.500, 0.000)
O (0.774, 0.726, 0.540)
Tb (0.000, 0.500, 0.000)
O (0.226, 0.274, 0.040)
Tl (0.000, 0.000, 0.500)
Tb (0.000, 0.500, 0.500)
O (0.226, 0.274, 0.460)
O (0.222, 0.679, 0.451)
O (0.778, 0.321, 0.549)
Sb (0.500, 0.500, 0.500)
O (0.774, 0.726, 0.960)
O (0.821, 0.278, 0.049)
Sb (0.000, 0.000, 0.000)
Tl (0.500, 0.000, 0.500)

Results
Space group: Imma, No. 74
ρ (g cm⁻³): 9.04
Raw total energy (eV per atom): -5.692


Below is crystalline TbTl2SbO8 at its relaxed geometry, with properties calculated at the PBE level.

Lattice parameters (Å, degrees): 4.941 4.913 6.973 90.00 90.00 86.59
Last column: magnetic moment on the atom in μB.
Atoms (fractional coordinates):
Tb (0.000, 0.000, 0.500)  -0.01
Tl (0.500, 0.500, 0.757)  0.00
O (0.352, 0.199, 0.000)  0.39
O (0.398, 0.228, 0.500)  0.40
O (0.602, 0.772, 0.500)  0.40
O (0.872, 0.236, 0.778)  0.04
O (0.128, 0.764, 0.222)  0.04
O (0.872, 0.236, 0.222)  0.04
O (0.128, 0.764, 0.778)  0.04
Sb (0.000, 0.000, 0.000)  -0.01
O (0.648, 0.801, 0.000)  0.39
Tl (0.500, 0.500, 0.243)  0.00

Results
Space group: P2/m, No. 10
ρ (g cm⁻³): 8.03
Raw total energy (eV per atom): -5.646


Below is crystalline TbYSbO2 at its relaxed geometry, with properties calculated at the PBE level.

Lattice parameters (Å, degrees): 3.873 3.873 7.241 105.51 105.51 90.00
Atoms (fractional coordinates):
Tb (0.834, 0.834, 0.668)
Y (0.166, 0.166, 0.331)
O (0.750, 0.250, 0.500)
O (0.250, 0.750, 0.500)
Sb (0.501, 0.501, 0.001)

Results
Space group: I4mm, No. 107
ρ (g cm⁻³): 6.63
Raw total energy (eV per atom): -7.720


no.,total magnetic moment (μB per cell),DOS(E_F) (states/eV/atom)
1,0.00,0.143
2,0.00,0.000
3,0.00,0.282
4,0.00,0.023
5,2.04,0.049
6,0.00,0.266